## PmPuPbO6 (GGA-PBE)

Data for crystalline PmPuPbO6 at its relaxed geometry.

Computed properties:
SG: P-31c, No. 163

Lattice parameters (Å, degrees): 5.959 5.959 9.936 90.00 90.00 120.00
Atoms (fractional coordinates):
Pm (0.333, 0.667, 0.250)
Pm (0.667, 0.333, 0.750)
Pu (0.333, 0.667, 0.750)
Pu (0.667, 0.333, 0.250)
Pb (0.000, 0.000, 0.000)
Pb (0.000, 0.000, 0.500)
O (0.042, 0.387, 0.640)
O (0.042, 0.655, 0.860)
O (0.345, 0.387, 0.860)
O (0.345, 0.958, 0.640)
O (0.387, 0.042, 0.140)
O (0.387, 0.345, 0.360)
O (0.613, 0.655, 0.640)
O (0.613, 0.958, 0.860)
O (0.655, 0.042, 0.360)
O (0.655, 0.613, 0.140)
O (0.958, 0.345, 0.140)
O (0.958, 0.613, 0.360)


## PmPuPb2O8 (GGA-PBE)

Data for crystalline PmPuPb2O8 at its relaxed geometry.

Computed properties:
SG: Cmmm, No. 65

Lattice parameters (Å, degrees): 5.230 5.230 7.049 90.00 90.00 90.40
Atoms (fractional coordinates):
Pm (0.000, 0.000, 0.000)
Pu (0.000, 0.000, 0.500)
Pb (0.500, 0.500, 0.251)
Pb (0.500, 0.500, 0.749)
O (0.179, 0.821, 0.283)
O (0.179, 0.821, 0.717)
O (0.285, 0.285, 0.500)
O (0.313, 0.313, 0.000)
O (0.687, 0.687, 0.000)
O (0.715, 0.715, 0.500)
O (0.821, 0.179, 0.283)
O (0.821, 0.179, 0.717)


## PmPuPb2O6 (GGA-PBE)

Data for crystalline PmPuPb2O6 at its relaxed geometry.

Computed properties:
SG: R3, No. 146

Lattice parameters (Å, degrees): 6.224 6.224 6.224 59.21 59.21 59.21
Atoms (fractional coordinates):
Pm (0.000, 0.000, 0.000)
Pu (0.506, 0.506, 0.506)
Pb (0.223, 0.223, 0.223)
Pb (0.727, 0.727, 0.727)
O (0.183, 0.351, 0.774)
O (0.300, 0.831, 0.657)
O (0.351, 0.774, 0.183)
O (0.657, 0.300, 0.831)
O (0.774, 0.183, 0.351)
O (0.831, 0.657, 0.300)


## Rb2PmPbO4 (GGA-PBE)

Data for crystalline Rb2PmPbO4 at its relaxed geometry.

Computed properties:
SG: Imma, No. 74

Lattice parameters (Å, degrees): 7.507 7.507 7.507 121.11 119.22 89.72
Atoms (fractional coordinates):
Rb (0.000, 0.000, 0.000)
Rb (0.500, 0.000, 0.000)
Rb (0.500, 0.000, 0.500)
Rb (0.500, 0.500, 0.500)
Pm (0.000, 0.000, 0.500)
Pm (0.000, 0.500, 0.000)
Pb (0.000, 0.500, 0.500)
Pb (0.500, 0.500, 0.000)
O (0.188, 0.736, 0.453)
O (0.217, 0.264, 0.953)
O (0.230, 0.271, 0.541)
O (0.230, 0.689, 0.959)
O (0.770, 0.311, 0.041)
O (0.770, 0.729, 0.459)
O (0.783, 0.736, 0.047)
O (0.812, 0.264, 0.547)


## Rb2Pm2PbO6 (GGA-PBE)

Data for crystalline Rb2Pm2PbO6 at its relaxed geometry.

Computed properties:
SG: C2/m, No. 12

Lattice parameters (Å, degrees): 6.153 6.153 7.001 97.84 97.84 119.96
Atoms (fractional coordinates):
Rb (0.164, 0.836, 0.000)
Rb (0.836, 0.164, 0.000)
Pm (0.334, 0.666, 0.500)
Pm (0.666, 0.334, 0.500)
Pb (0.000, 0.000, 0.500)
O (0.047, 0.375, 0.671)
O (0.256, 0.256, 0.329)
O (0.375, 0.047, 0.671)
O (0.625, 0.953, 0.329)
O (0.744, 0.744, 0.671)
O (0.953, 0.625, 0.329)


## Rb2PmPb2O4 (GGA-PBE)

Data for crystalline Rb2PmPb2O4 at its relaxed geometry.

Computed properties:
SG: C2/m, No. 12

Lattice parameters (Å, degrees): 7.041 7.041 9.386 112.57 112.57 29.99
Atoms (fractional coordinates):
Rb (0.189, 0.189, 0.278)
Rb (0.811, 0.811, 0.722)
Pm (0.000, 0.000, 0.500)
Pb (0.407, 0.407, 0.147)
Pb (0.593, 0.593, 0.853)
O (0.150, 0.150, 0.742)
O (0.445, 0.445, 0.619)
O (0.555, 0.555, 0.381)
O (0.850, 0.850, 0.258)


no.,uncorrected formation energy (meV per atom),total DFT energy (no corrections) (eV per formula unit)
1,-2366,-73.8
2,-1948,-89.5
3,-2252,-78.8
4,-1785,-44.5
5,-2138,-68.4
6,-1669,-49.0